[1]
NaEr2In9 | PBE | optimized geometry

The structure in POSCAR format:
```
NaEr2In9
1.0
4.628 0.000 0.000
0.000 4.628 0.000
0.000 0.000 14.038
Na Er In
1 2 9
Cartesian
0.000 0.000 0.000 Na
0.000 0.000 4.710 Er
0.000 0.000 9.328 Er
0.000 2.314 2.352 In
0.000 2.314 7.019 In
0.000 2.314 11.687 In
2.314 0.000 2.352 In
2.314 0.000 7.019 In
2.314 0.000 11.687 In
2.314 2.314 0.000 In
2.314 2.314 4.701 In
2.314 2.314 9.338 In
```

Calculated values
formation energy from the elements: -272 meV per atom
spin magnetization: 0.0 μB/f.u.
crystal system: tetragonal
total energy: -3.20 eV/atom

[2]
TlSi2Pb | PBE | optimized geometry

The structure in POSCAR format:
```
TlSi2Pb
1.0
4.041 0.000 0.000
0.000 4.538 0.000
0.000 0.000 5.194
Tl Si Pb
1 2 1
Cartesian
0.000 0.000 0.000 Tl
2.021 0.000 2.597 Si
2.021 2.269 0.000 Si
0.000 2.269 2.597 Pb
```

Calculated values
ΔE_f (raw): 0.62 eV per atom
spin magnetization: 0.0 μB/f.u.
offset from the most stable computed form: 1.702 eV per formula unit
crystal system: orthorhombic
total energy: -3.61 eV/atom

[3]
PrSm2Cd6 | PBE | optimized geometry

The structure in POSCAR format:
```
PrSm2Cd6
1.0
8.783 0.000 0.000
-4.392 7.607 0.000
0.000 0.000 3.455
Pr Sm Cd
1 2 6
Cartesian
0.000 0.000 0.000 Pr
0.000 5.071 0.000 Sm
4.392 2.536 0.000 Sm
-1.471 2.549 1.727 Cd
-2.920 5.058 1.727 Cd
2.943 0.000 1.727 Cd
1.471 2.549 1.727 Cd
5.841 0.000 1.727 Cd
2.920 5.058 1.727 Cd
```

Calculated values
formation energy from the elements: -340 meV per atom
spin magnetization: 0.3 μB/f.u.
offset from the most stable computed form: 0.000 eV per formula unit
crystal system: hexagonal
total energy: -2.53 eV/atom

[4]
Y2BrCl | PBE | optimized geometry

The structure in POSCAR format:
```
Y2BrCl
1.0
3.578 0.000 0.000
0.000 3.578 0.000
0.000 0.000 7.164
Y Br Cl
2 1 1
Cartesian
0.000 0.000 1.771 Y
0.000 0.000 5.393 Y
1.789 1.789 3.582 Br
1.789 1.789 0.000 Cl
```

Calculated values
ΔE_f (raw): -0.81 eV per atom
spin magnetization: 0.0 μB/f.u.
offset from the most stable computed form: 1.901 eV per formula unit
crystal system: tetragonal
total energy: -4.92 eV/atom

[5]
Li2CaFe | PBE | optimized geometry

The structure in POSCAR format:
```
Li2CaFe
1.0
2.845 -4.753 0.000
2.845 4.753 0.000
0.000 0.000 3.040
Li Ca Fe
2 1 1
Cartesian
1.422 2.376 0.000 Li
1.422 -2.376 0.000 Li
0.000 0.000 1.520 Ca
2.845 0.000 1.520 Fe
```

Calculated values
formation energy from the elements: 536 meV per atom
spin magnetization: 2.3 μB/f.u.
offset from the most stable computed form: 0.738 eV per formula unit
crystal system: orthorhombic
total energy: -3.04 eV/atom

[6]
Tb4Ni2Hg5 | PBE | optimized geometry

The structure in POSCAR format:
```
Tb4Ni2Hg5
1.0
7.587 0.000 0.000
0.000 3.593 0.000
-0.552 0.000 9.422
Tb Ni Hg
4 2 5
Cartesian
1.150 0.000 3.220 Tb
1.167 0.000 8.826 Tb
5.869 0.000 0.595 Tb
5.886 0.000 6.201 Tb
0.435 1.797 1.200 Ni
6.601 1.797 8.221 Ni
0.903 1.797 6.075 Hg
3.276 1.797 1.588 Hg
3.518 1.797 4.711 Hg
3.760 1.797 7.834 Hg
6.132 1.797 3.347 Hg
```

Calculated values
formation energy from the elements: -447 meV per atom
spin magnetization: 0.0 μB/f.u.
crystal system: monoclinic
total energy: -3.32 eV/atom

[7]
SrPH6CBr3 | PBE | optimized geometry

The structure in POSCAR format:
```
SrPH6CBr3
1.0
8.709 0.000 0.000
0.000 6.120 0.000
-0.009 0.000 8.726
Sr P H C Br
2 2 12 2 6
Cartesian
0.000 0.000 0.000 Sr
4.306 0.000 4.324 Sr
4.360 3.060 7.944 P
7.851 3.060 4.392 P
1.171 2.159 3.526 H
1.171 3.961 3.526 H
1.428 3.060 5.061 H
3.531 3.060 1.456 H
3.656 1.917 7.497 H
3.656 4.203 7.497 H
5.081 2.160 1.303 H
5.081 3.960 1.303 H
5.639 3.060 7.367 H
7.157 3.060 3.175 H
7.455 1.919 5.128 H
7.455 4.201 5.128 H
0.904 3.060 4.098 C
4.527 3.060 1.000 C
2.107 0.000 6.460 Br
2.320 0.000 2.021 Br
4.477 3.060 4.589 Br
6.364 0.000 6.666 Br
6.728 0.000 2.406 Br
8.584 3.060 8.548 Br
```

Calculated values
spin magnetization: 0.0 μB/f.u.
crystal system: monoclinic
total energy: -4.16 eV/atom

[8]
ZrInSb2 | PBE | optimized geometry

The structure in POSCAR format:
```
ZrInSb2
1.0
3.819 0.000 0.000
0.000 4.908 0.000
0.000 0.000 5.274
Zr In Sb
1 1 2
Cartesian
0.000 0.000 0.000 Zr
1.910 0.000 2.637 In
0.000 2.454 2.637 Sb
1.910 2.454 0.000 Sb
```

Calculated values
ΔE_f (raw): -0.04 eV per atom
spin magnetization: 0.0 μB/f.u.
crystal system: orthorhombic
total energy: -4.93 eV/atom

[9]
ErTcN2 | PBE | optimized geometry

The structure in POSCAR format:
```
ErTcN2
1.0
2.781 0.000 0.000
0.000 2.781 0.000
0.000 0.000 5.621
Er Tc N
1 1 2
Cartesian
0.000 0.000 0.000 Er
0.000 0.000 2.810 Tc
1.390 1.390 1.558 N
1.390 1.390 4.063 N
```

Calculated values
ΔE_f (raw): 0.02 eV per atom
spin magnetization: 0.0 μB/f.u.
offset from the most stable computed form: 3.819 eV per formula unit
crystal system: tetragonal
total energy: -7.87 eV/atom

[10]
ScGeS | PBE | optimized geometry

The structure in POSCAR format:
```
ScGeS
1.0
1.931 1.115 10.912
-1.931 1.115 10.912
0.000 -2.229 10.912
Sc Ge S
2 2 2
Cartesian
0.000 0.000 2.548 Sc
0.000 0.000 30.188 Sc
0.000 0.000 11.477 Ge
0.000 0.000 21.259 Ge
0.000 0.000 7.251 S
0.000 0.000 25.485 S
```

Calculated values
ΔE_f (raw): -1.04 eV per atom
spin magnetization: 0.0 μB/f.u.
crystal system: trigonal
total energy: -6.06 eV/atom

[11]
CeEuNiIr | PBE | optimized geometry

The structure in POSCAR format:
```
CeEuNiIr
1.0
0.000 3.473 3.473
3.473 0.000 3.473
3.473 3.473 0.000
Ce Eu Ni Ir
1 1 1 1
Cartesian
0.000 0.000 0.000 Ce
3.473 3.473 3.473 Eu
1.737 1.737 1.737 Ni
5.210 5.210 5.210 Ir
```

Calculated values
formation energy from the elements: -359 meV per atom
spin magnetization: 7.3 μB/f.u.
crystal system: cubic
total energy: -8.07 eV/atom

[12]
KVTeI2 | PBE | optimized geometry

The structure in POSCAR format:
```
KVTeI2
1.0
5.870 0.000 0.000
0.000 5.870 0.000
0.000 0.000 5.218
K V Te I
1 1 1 2
Cartesian
0.000 0.000 0.000 K
2.935 2.935 2.609 V
2.935 2.935 0.000 Te
0.000 2.935 2.609 I
2.935 0.000 2.609 I
```

Calculated values
ΔE_f (raw): -0.56 eV per atom
spin magnetization: 2.0 μB/f.u.
offset from the most stable computed form: 0.000 eV per formula unit
crystal system: tetragonal
total energy: -3.86 eV/atom

Which of these has the highest spin magnetization? CeEuNiIr

Look up the total energy of the fifth one. -3.04 eV/atom

Which of these has the lowest total energy? CeEuNiIr